The following is a DFT calculation (PBE) of crystalline Li2H5Pt at its relaxed geometry.

abc: 8.8011 3.7889 5.1874
angles: 90.00 124.35 90.00
With the nearest neighbours (Å) after each atom.
Space group C2/m (No. 12)
Inequivalent atoms, fractional coordinates:
Li1 0.2256 0.0000 0.2392 (multiplicity 4)  5 H 1.88-1.99
H1 0.0000 0.5000 0.5000 (multiplicity 2)  2 Pt 1.89, 2 Li 1.99
H2 0.0127 0.0000 0.8284 (multiplicity 4)  1 Pt 1.64
H3 0.2274 0.0000 0.6979 (multiplicity 4)  1 Pt 1.66
Pt1 0.0000 0.0000 0.5000 (multiplicity 2)  4 H 1.64-1.66

Results
Its calculated volume is 142.8 Å³ per cell. As for the energy above the most stable polymorph in this dataset: 0 meV/atom. For the total energy, the calculation gives -3.72 eV per atom. As for the density of states at the Fermi level: 0.61 states/eV/f.u.